Crystalline LiGdZnGe at its relaxed geometry. Source: Alexandria via LeMat-Bulk, functional GGA-PBE.

## Properties
ΔH_f (0 K) ... -0.45 eV per atom
Magnetization ... 6.99 μB per formula unit
Mass density ... 6.285 g cm⁻³
E_tot ... -5.921 eV per atom

Cell lengths 6.8358, 6.8358, 6.8358 Å; angles 90.00, 90.00, 90.00 degrees
With the nearest neighbours (Å) after each atom.
Sites, in units of the cell vectors:
Li1 0.0000 0.0000 0.0000  4 Zn 2.96, 4 Ge 2.96
Li2 0.0000 0.5000 0.5000  4 Zn 2.96, 4 Ge 2.96
Li3 0.5000 0.0000 0.5000  4 Zn 2.96, 4 Ge 2.96
Li4 0.5000 0.5000 0.0000  4 Zn 2.96, 4 Ge 2.96
Gd1 0.0000 0.0000 0.5000  4 Ge 2.96, 4 Zn 2.96
Gd2 0.0000 0.5000 0.0000  4 Ge 2.96, 4 Zn 2.96
Gd3 0.5000 0.0000 0.0000  4 Ge 2.96, 4 Zn 2.96
Gd4 0.5000 0.5000 0.5000  4 Ge 2.96, 4 Zn 2.96
Zn1 0.2500 0.2500 0.7500  4 Gd 2.96, 4 Li 2.96
Zn2 0.2500 0.7500 0.2500  4 Gd 2.96, 4 Li 2.96
Zn3 0.7500 0.2500 0.2500  4 Gd 2.96, 4 Li 2.96
Zn4 0.7500 0.7500 0.7500  4 Gd 2.96, 4 Li 2.96
Ge1 0.2500 0.2500 0.2500  4 Li 2.96, 4 Gd 2.96
Ge2 0.2500 0.7500 0.7500  4 Gd 2.96, 4 Li 2.96
Ge3 0.7500 0.2500 0.7500  4 Gd 2.96, 4 Li 2.96
Ge4 0.7500 0.7500 0.2500  4 Gd 2.96, 4 Li 2.96